# 1
Compound: Tm2CdCu
Source: the Alexandria database
Functional: PBE
Structure: relaxed

Cell and atoms, written as POSCAR:
```
Tm2CdCu
1.0
-1.047 3.958 2.957
-4.011 -0.130 3.066
0.651 -0.338 4.997
Cd Cu Tm
1 1 2
Direct
0.000 0.000 0.000
0.500 0.500 0.500
0.750 0.750 0.750
0.250 0.250 0.250
```

Summary:
Excess energy over the best structure of this formula in the dataset = 0.21 eV per formula unit
Calculated formation energy = -0.24 eV per atom
Raw total energy = -3.731 eV/atom

=====

# 2
Compound: TlCuSe2Cl
Source: the Alexandria database
Functional: PBE
Structure: relaxed

Cell and atoms, written as POSCAR:
```
TlCuSe2Cl
1.0
-0.928 0.658 -5.282
4.778 -1.978 -1.086
-2.112 -4.967 -0.248
Se Cl Cu Tl
2 1 1 1
Direct
0.500 0.000 0.000
0.000 0.000 0.500
0.000 0.500 0.000
0.500 0.500 0.500
0.000 0.000 0.000
```

Summary:
Raw total energy = -2.429 eV/atom
Uncorrected formation energy = 626 meV/atom

=====

# 3
Compound: ZrNiPt4
Source: the Alexandria database
Functional: PBE
Structure: relaxed

Cell and atoms, written as POSCAR:
```
ZrNiPt4
1.0
4.603 -0.061 0.026
0.063 5.204 1.945
-0.044 -0.070 8.124
Zr Pt Ni
2 8 2
Direct
0.250 0.300 0.901
0.750 0.700 0.099
0.250 0.390 0.213
0.251 0.203 0.585
0.249 0.712 0.585
0.750 0.103 0.787
0.250 0.897 0.213
0.750 0.610 0.787
0.749 0.797 0.415
0.751 0.288 0.415
0.250 0.807 0.887
0.750 0.193 0.113
```

Summary:
Excess energy over the best structure of this formula in the dataset = 0.00 eV per formula unit
Calculated formation energy = -0.52 eV per atom
Raw total energy = -6.931 eV/atom

=====

# 4
Compound: CeErPuTc
Source: the Alexandria database
Functional: PBE
Structure: relaxed

Cell and atoms, written as POSCAR:
```
CeErPuTc
1.0
5.007 0.000 0.000
2.503 4.336 0.000
2.503 1.445 4.088
Pu Ce Er Tc
1 1 1 1
Direct
0.500 0.500 0.500
0.750 0.750 0.750
0.000 0.000 0.000
0.250 0.250 0.250
```

Summary:
Calculated formation energy = 0.07 eV per atom
Raw total energy = -8.733 eV/atom